# Cs2KGeSe4

A relaxed structure of Cs2KGeSe4 (PBE, Alexandria).

Structure (CIF):
```
data_Cs2KGeSe4
_chemical_formula_sum 'Cs16 K8 Ge8 Se32'
_space_group_name_H-M_alt 'F d d d'
_space_group_IT_number 70
_cell_length_a 7.2773
_cell_length_b 15.1820
_cell_length_c 23.3655
_cell_angle_alpha 90.00
_cell_angle_beta 90.00
_cell_angle_gamma 90.00
loop_
_space_group_symop_operation_xyz
'x,y,z'
'-x,-y,-z'
'-x+1/4,-y+1/4,z'
'x+1/4,y+1/4,-z'
'x,-y+1/4,-z+1/4'
'-x,y+1/4,z+1/4'
'-x+1/4,y,-z+1/4'
'x+1/4,-y,z+1/4'
'x,y+1/2,z+1/2'
'-x,-y+1/2,-z+1/2'
'-x+1/4,-y+3/4,z+1/2'
'x+1/4,y+3/4,-z+1/2'
'x,-y+3/4,-z+3/4'
'-x,y+3/4,z+3/4'
'-x+1/4,y+1/2,-z+3/4'
'x+1/4,-y+1/2,z+3/4'
'x+1/2,y,z+1/2'
'-x+1/2,-y,-z+1/2'
'-x+3/4,-y+1/4,z+1/2'
'x+3/4,y+1/4,-z+1/2'
'x+1/2,-y+1/4,-z+3/4'
'-x+1/2,y+1/4,z+3/4'
'-x+3/4,y,-z+3/4'
'x+3/4,-y,z+3/4'
'x+1/2,y+1/2,z'
'-x+1/2,-y+1/2,-z'
'-x+3/4,-y+3/4,z'
'x+3/4,y+3/4,-z'
'x+1/2,-y+3/4,-z+1/4'
'-x+1/2,y+3/4,z+1/4'
'-x+3/4,y+1/2,-z+1/4'
'x+3/4,-y+1/2,z+1/4'
loop_
_atom_site_label
_atom_site_type_symbol
_atom_site_fract_x
_atom_site_fract_y
_atom_site_fract_z
Cs1 Cs 0.1250 0.1250 0.3111
K1 K 0.1250 0.1250 0.1250
Ge1 Ge 0.1250 0.1250 0.6250
Se1 Se 0.0514 0.2800 0.8126
```

Output
formation energy without anion corrections = -0.745 eV/atom
density of states at the Fermi level = 0.621 states/eV per atom